# PBE PmDy3Er6Th2, relaxed
# Space-group type: C2/m
# E_form: 33.4 kJ/mol of formula units
# Density: 9.3 g/cm³
data_PmDy3Er6Th2
_symmetry_space_group_name_H-M 'P 1'
_symmetry_Int_Tables_number 1
_cell_length_a 6.1475
_cell_length_b 6.1475
_cell_length_c 11.6678
_cell_angle_alpha 95.05
_cell_angle_beta 95.05
_cell_angle_gamma 119.96
loop_
_symmetry_equiv_pos_as_xyz
'x,y,z'
loop_
_atom_site_label
_atom_site_type_symbol
_atom_site_fract_x
_atom_site_fract_y
_atom_site_fract_z
_atom_site_occupancy
Pm1 Pm 0.0000 0.0000 0.0000 1
Dy1 Dy 0.1663 0.8337 0.5000 1
Er1 Er 0.0835 0.4212 0.2488 1
Er2 Er 0.7455 0.7455 0.2490 1
Th1 Th 0.3333 0.6667 0.0000 1
Er3 Er 0.4212 0.0835 0.2488 1
Er4 Er 0.9165 0.5788 0.7512 1
Er5 Er 0.2545 0.2545 0.7510 1
Dy2 Dy 0.5000 0.5000 0.5000 1
Er6 Er 0.5788 0.9165 0.7512 1
Th2 Th 0.6667 0.3333 0.0000 1
Dy3 Dy 0.8337 0.1663 0.5000 1



# PBE AlRh3N, relaxed
# Formation energy without anion corrections: 1848 meV per atom
# ΔE to the lowest computed polymorph: 9.86 eV per formula unit
# Space-group type: Pm-3m
# Density: 6.4 g/cm³
data_AlRh3N
_symmetry_space_group_name_H-M 'P 1'
_symmetry_Int_Tables_number 1
_cell_length_a 4.4934
_cell_length_b 4.4934
_cell_length_c 4.4934
_cell_angle_alpha 90.00
_cell_angle_beta 90.00
_cell_angle_gamma 90.00
loop_
_symmetry_equiv_pos_as_xyz
'x,y,z'
loop_
_atom_site_label
_atom_site_type_symbol
_atom_site_fract_x
_atom_site_fract_y
_atom_site_fract_z
_atom_site_occupancy
N1 N 0.5000 0.5000 0.5000 1
Al1 Al 0.0000 0.0000 0.0000 1
Rh1 Rh 0.5000 0.0000 0.0000 1
Rh2 Rh 0.0000 0.0000 0.5000 1
Rh3 Rh 0.0000 0.5000 0.0000 1